Ta3InSe | PBE | relaxed

## Properties
Its electronic total energy is -6.114 eV per atom. Its space-group type is No. 221.

Lattice parameters (Å, degrees): 5.0372 5.0372 5.0372 90.00 90.00 90.00
Closest atoms and distances in Å follow each position.
Element x y z (fractional)
In 0.0000 0.0000 0.0000  6 Ta 2.52
Se 0.5000 0.5000 0.5000  12 Ta 3.56
Ta 0.0000 0.5000 0.0000  2 In 2.52
Ta 0.0000 0.0000 0.5000  2 In 2.52
Ta 0.5000 0.0000 0.0000  2 In 2.52